Entry A
This record from the Alexandria database describes a geometry-optimized NaAsH2Cl structure. The functional is GGA-PBE.

Lattice parameters (Å, degrees): 3.321 4.185 7.489 82.47 77.31 90.00
Sites, in units of the cell vectors:
Na 0.000 0.000 0.000
As 0.726 0.004 0.569
H 0.768 0.687 0.484
H 0.823 0.203 0.375
Cl 0.486 0.493 0.029

**N(E_F)**: 1.2 states/eV/f.u.

Entry B
This record from the Alexandria database describes a geometry-optimized NaAsH2Cl structure. The functional is GGA-PBE.

Lattice parameters (Å, degrees): 6.712 6.712 2.707 90.22 90.22 50.65
Sites, in units of the cell vectors:
Na 0.000 0.000 0.000
As 0.470 0.470 0.501
H 0.747 0.880 0.486
H 0.880 0.747 0.486
Cl 0.191 0.191 0.504

**N(E_F)**: 0.3 states/eV/f.u.

The data favor entry A; the next most stable structure lies 0.384 eV/atom above it.

Entry A
This record from the Alexandria database describes a geometry-optimized NaAsH2Cl structure. The functional is GGA-PBE.

Lattice parameters (Å, degrees): 3.334 4.160 7.327 90.06 90.75 90.01
Sites, in units of the cell vectors:
Na 0.000 0.000 0.000
As 0.441 0.794 0.501
H 0.437 0.061 0.354
H 0.445 0.060 0.650
Cl 0.501 0.499 0.002

**N(E_F)**: 0.9 states/eV/f.u.

Entry B
This record from the Alexandria database describes a geometry-optimized NaAsH2Cl structure. The functional is GGA-PBE.

Lattice parameters (Å, degrees): 3.314 5.220 5.280 71.58 89.96 89.87
Sites, in units of the cell vectors:
Na 0.000 0.000 0.000
As 0.500 0.465 0.127
H 0.005 0.797 0.536
H 0.989 0.949 0.492
Cl 0.499 0.354 0.587

**N(E_F)**: 1.9 states/eV/f.u.

The data favor entry A; the next most stable structure lies 0.213 eV/atom above it.

Entry A
This record from the Alexandria database describes a geometry-optimized AsPHCl2 structure. The functional is GGA-PBE.

Lattice parameters (Å, degrees): 4.270 4.270 4.280 90.00 90.00 90.00
Sites, in units of the cell vectors:
As 0.000 0.000 0.000
P 0.500 0.500 0.000
H 0.500 0.500 0.500
Cl 0.000 0.500 0.500
Cl 0.500 0.000 0.500

**N(E_F)**: 1.8 states/eV/f.u.

Entry B
This record from the Alexandria database describes a geometry-optimized AsPHCl2 structure. The functional is GGA-PBE.

Lattice parameters (Å, degrees): 5.105 5.105 4.968 90.00 90.00 90.00
Sites, in units of the cell vectors:
As 0.000 0.000 0.000
P 0.000 0.000 0.500
H 0.500 0.500 0.500
Cl 0.000 0.500 0.000
Cl 0.500 0.000 0.000

**N(E_F)**: 0.5 states/eV/f.u.

The data favor entry B; the next most stable structure lies 0.162 eV/atom above it.

Entry A
This record from the Alexandria database describes a geometry-optimized Hf2AsCl structure. The functional is GGA-PBE.

Lattice parameters (Å, degrees): 4.664 4.664 4.664 60.00 60.00 60.00
Sites, in units of the cell vectors:
Hf 0.250 0.250 0.250
Hf 0.750 0.750 0.750
As 0.000 0.000 0.000
Cl 0.500 0.500 0.500

**N(E_F)**: 0.3 states/eV/f.u.

Entry B
This record from the Alexandria database describes a geometry-optimized Hf2AsCl structure. The functional is GGA-PBE.

Lattice parameters (Å, degrees): 8.898 8.898 8.898 149.48 149.48 43.71
Sites, in units of the cell vectors:
Hf 0.121 0.625 0.996
Hf 0.375 0.371 0.496
Hf 0.629 0.125 0.004
Hf 0.875 0.879 0.504
As 0.250 0.750 0.500
As 0.500 0.500 0.000
Cl 0.000 0.000 0.000
Cl 0.750 0.250 0.500

**N(E_F)**: 2.7 states/eV/f.u.

The data favor entry A; the next most stable structure lies 0.428 eV/atom above it.

Entry A
This record from the Alexandria database describes a geometry-optimized HfAsSCl2 structure. The functional is GGA-PBE.

Lattice parameters (Å, degrees): 4.835 4.835 5.107 90.00 90.00 90.00
Sites, in units of the cell vectors:
Hf 0.000 0.000 0.000
As 0.500 0.500 0.500
S 0.500 0.500 0.000
Cl 0.000 0.500 0.500
Cl 0.500 0.000 0.500

**N(E_F)**: 5.6 states/eV/f.u.

Entry B
This record from the Alexandria database describes a geometry-optimized HfAsSCl2 structure. The functional is GGA-PBE.

Lattice parameters (Å, degrees): 5.073 5.073 4.933 90.00 90.00 90.00
Sites, in units of the cell vectors:
Hf 0.000 0.000 0.000
As 0.500 0.500 0.500
S 0.000 0.000 0.500
Cl 0.000 0.500 0.000
Cl 0.500 0.000 0.000

**N(E_F)**: 2.4 states/eV/f.u.

The data favor entry B; the next most stable structure lies 0.970 eV/atom above it.

Entry A
This record from the Alexandria database describes a geometry-optimized HgAs2Cl8 structure. The functional is GGA-PBE.

Lattice parameters (Å, degrees): 8.630 8.630 6.691 106.59 106.59 57.71
Sites, in units of the cell vectors:
Hg 0.000 0.000 0.000
As 0.295 0.295 0.028
As 0.705 0.705 0.972
Cl 0.134 0.134 0.288
Cl 0.167 0.570 0.233
Cl 0.370 0.370 0.797
Cl 0.430 0.833 0.767
Cl 0.570 0.167 0.233
Cl 0.630 0.630 0.203
Cl 0.833 0.430 0.767
Cl 0.866 0.866 0.712

**N(E_F)**: 0.0 states/eV/f.u.

Entry B
This record from the Alexandria database describes a geometry-optimized HgAs2Cl8 structure. The functional is GGA-PBE.

Lattice parameters (Å, degrees): 8.351 8.351 9.039 114.84 114.84 61.38
Sites, in units of the cell vectors:
Hg 0.000 0.000 0.000
As 0.189 0.189 0.681
As 0.811 0.811 0.319
Cl 0.076 0.683 0.245
Cl 0.158 0.158 0.252
Cl 0.317 0.924 0.755
Cl 0.353 0.353 0.897
Cl 0.647 0.647 0.103
Cl 0.683 0.076 0.245
Cl 0.842 0.842 0.748
Cl 0.924 0.317 0.755

**N(E_F)**: 0.0 states/eV/f.u.

The data favor entry A; the next most stable structure lies 0.011 eV/atom above it.

Entry A
This record from the Alexandria database describes a geometry-optimized HgAsCl4 structure. The functional is GGA-PBE.

Lattice parameters (Å, degrees): 9.982 9.982 9.476 101.98 101.98 29.69
Sites, in units of the cell vectors:
Hg 0.236 0.236 0.304
Hg 0.764 0.764 0.696
As 0.077 0.077 0.709
As 0.923 0.923 0.291
Cl 0.040 0.040 0.329
Cl 0.103 0.103 0.945
Cl 0.262 0.262 0.696
Cl 0.411 0.411 0.322
Cl 0.589 0.589 0.678
Cl 0.738 0.738 0.304
Cl 0.897 0.897 0.055
Cl 0.960 0.960 0.671

**N(E_F)**: 1.6 states/eV/f.u.

Entry B
This record from the Alexandria database describes a geometry-optimized HgAsCl4 structure. The functional is GGA-PBE.

Lattice parameters (Å, degrees): 5.929 5.929 5.929 60.00 60.00 60.00
Sites, in units of the cell vectors:
Hg 0.000 0.000 0.000
As 0.750 0.750 0.750
Cl 0.376 0.376 0.376
Cl 0.376 0.376 0.873
Cl 0.376 0.873 0.376
Cl 0.873 0.376 0.376

**N(E_F)**: 6.4 states/eV/f.u.

The data favor entry A; the next most stable structure lies 1.266 eV/atom above it.

Entry A
This record from the Alexandria database describes a geometry-optimized Hg3AsCl2 structure. The functional is GGA-PBE.

Lattice parameters (Å, degrees): 7.615 8.453 8.483 110.65 115.69 99.95
Sites, in units of the cell vectors:
Hg 0.098 0.124 0.312
Hg 0.268 0.445 0.036
Hg 0.400 0.069 0.765
Hg 0.600 0.931 0.235
Hg 0.732 0.555 0.964
Hg 0.902 0.876 0.688
As 0.331 0.338 0.726
As 0.669 0.662 0.274
Cl 0.058 0.728 0.991
Cl 0.458 0.797 0.763
Cl 0.542 0.203 0.237
Cl 0.942 0.272 0.009

Entry B
This record from the Alexandria database describes a geometry-optimized Hg3AsCl2 structure. The functional is GGA-PBE.

Lattice parameters (Å, degrees): 7.276 7.276 8.472 99.76 99.76 65.80
Sites, in units of the cell vectors:
Hg 0.153 0.847 0.750
Hg 0.331 0.370 0.959
Hg 0.370 0.331 0.459
Hg 0.630 0.669 0.541
Hg 0.669 0.630 0.041
Hg 0.847 0.153 0.250
As 0.475 0.525 0.750
As 0.525 0.475 0.250
Cl 0.048 0.208 0.918
Cl 0.208 0.048 0.418
Cl 0.792 0.952 0.582
Cl 0.952 0.792 0.082

**N(E_F)**: 1.3 states/eV/f.u.

The data favor entry A; the next most stable structure lies 0.021 eV/atom above it.